--- one ---
Material: La2Cd2Pd
Method: DFT, PBE-GGA
State: optimized geometry

The structure belongs to space group P4/mbm (No. 127); the cell edges are 7.655, 7.655 and 5.196 Å and the angles 90.00°, 90.00° and 90.00°. The inequivalent atoms are La at (0.160, 0.340, 0.000), Cd at (0.144, 0.644, 0.500) and Pd at (0.000, 0.000, 0.000).

Its magnetization is 0.00 μB per cell. The calculated volume is 30.5 Å³/atom.

---

--- two ---
Material: La2Cd2Pd
Method: DFT, PBE-GGA
State: optimized geometry

The structure belongs to space group I4/mmm (No. 139); the cell edges are 6.218, 6.218 and 7.885 Å and the angles 90.00°, 90.00° and 90.00°. The inequivalent atoms are La at (0.000, 0.500, 0.250), Cd at (0.000, 0.000, 0.163) and Pd at (0.000, 0.000, 0.500).

Its magnetization is 1.32 μB per cell. The calculated volume is 30.5 Å³/atom.

---

Least stable of them? two.

---

--- one ---
Material: La2CdPd3
Method: DFT, PBE-GGA
State: optimized geometry

The structure belongs to space group Immm (No. 71); the cell edges are 4.702, 5.679 and 10.857 Å and the angles 90.00°, 90.00° and 90.00°. The inequivalent atoms are La at (0.000, 0.000, 0.179), Cd at (0.000, 0.000, 0.500), Pd at (0.000, 0.500, 0.132) and Pd at (0.000, 0.500, 0.500).

Its magnetization is 0.00 μB per cell. The calculated volume is 24.2 Å³/atom.

---

--- two ---
Material: La2CdPd3
Method: DFT, PBE-GGA
State: optimized geometry

The structure belongs to space group Pnma (No. 62); the cell edges are 7.566, 4.030 and 18.029 Å and the angles 90.00°, 90.00° and 90.00°. The inequivalent atoms are La at (0.112, 0.250, 0.210), La at (0.152, 0.250, 0.428), Cd at (0.017, 0.750, 0.062), Pd at (0.089, 0.250, 0.656), Pd at (0.203, 0.250, 0.811) and Pd at (0.230, 0.750, 0.553).

Its magnetization is 0.00 μB per cell. The calculated volume is 22.9 Å³/atom.

---

Least stable of them? one.

---

--- one ---
Material: La4CdPd
Method: DFT, PBE-GGA
State: optimized geometry

The structure belongs to space group C2/c (No. 15); the cell edges are 9.476, 15.303 and 7.282 Å and the angles 90.00°, 126.96° and 90.00°. The inequivalent atoms are La at (0.172, 0.225, 0.181), La at (0.241, 0.035, 0.738), Cd at (0.000, 0.377, 0.750) and Pd at (0.000, 0.088, 0.250).

Its magnetization is 0.00 μB per cell. The calculated volume is 35.2 Å³/atom.

---

--- two ---
Material: La4CdPd
Method: DFT, PBE-GGA
State: optimized geometry

The structure belongs to space group F-43m (No. 216); the cell edges are 14.418, 14.418 and 14.418 Å and the angles 90.00°, 90.00° and 90.00°. The inequivalent atoms are La at (0.000, 0.000, 0.186), La at (0.056, 0.250, 0.250), La at (0.101, 0.101, 0.601), Cd at (0.170, 0.170, 0.830) and Pd at (0.107, 0.107, 0.393).

Its magnetization is 0.00 μB per cell. The calculated volume is 31.2 Å³/atom.

---

Least stable of them? one.

---

--- one ---
Material: La3Cd2Pd4
Method: DFT, PBE-GGA
State: optimized geometry

The structure belongs to space group C2/m (No. 12); the cell edges are 12.395, 4.308 and 9.214 Å and the angles 90.00°, 118.37° and 90.00°. The inequivalent atoms are La at (0.000, 0.000, 0.000), La at (0.137, 0.500, 0.701), Cd at (0.169, 0.500, 0.340), Pd at (0.065, 0.000, 0.412) and Pd at (0.205, 0.500, 0.061).

Its magnetization is 0.00 μB per cell. The calculated volume is 24.1 Å³/atom.

---

--- two ---
Material: La3Cd2Pd4
Method: DFT, PBE-GGA
State: optimized geometry

The structure belongs to space group C2/m (No. 12); the cell edges are 10.164, 4.634 and 9.151 Å and the angles 90.00°, 93.48° and 90.00°. The inequivalent atoms are La at (0.000, 0.000, 0.000), La at (0.128, 0.500, 0.386), Cd at (0.178, 0.500, 0.781), Pd at (0.080, 0.000, 0.631) and Pd at (0.213, 0.500, 0.087).

Its magnetization is 0.00 μB per cell. The calculated volume is 23.9 Å³/atom.

---

Least stable of them? two.

---

--- one ---
Material: LaCd3Pd3
Method: DFT, PBE-GGA
State: optimized geometry

The structure belongs to space group Pm-3n (No. 223); the cell edges are 7.293, 7.293 and 7.293 Å and the angles 90.00°, 90.00° and 90.00°. The inequivalent atoms are La at (0.000, 0.000, 0.000), Cd at (0.000, 0.250, 0.500) and Pd at (0.000, 0.500, 0.250).

Its magnetization is 0.44 μB per cell. The calculated volume is 27.7 Å³/atom.

---

--- two ---
Material: LaCd3Pd3
Method: DFT, PBE-GGA
State: optimized geometry

The structure belongs to space group P2_1/m (No. 11); the cell edges are 8.585, 4.597 and 8.600 Å and the angles 90.00°, 119.93° and 90.00°. The inequivalent atoms are La at (0.167, 0.250, 0.333), Cd at (0.257, 0.250, 0.983), Cd at (0.274, 0.750, 0.757), Cd at (0.483, 0.750, 0.226), Pd at (0.053, 0.250, 0.608), Pd at (0.108, 0.750, 0.055) and Pd at (0.443, 0.750, 0.552).

Its magnetization is 0.00 μB per cell. The calculated volume is 21.0 Å³/atom.

---

Least stable of them? one.

---

--- one ---
Material: La6Cd2Pd
Method: DFT, PBE-GGA
State: optimized geometry

The structure belongs to space group P2_1/c (No. 14); the cell edges are 6.442, 9.210 and 10.881 Å and the angles 90.00°, 116.86° and 90.00°. The inequivalent atoms are La at (0.064, 0.161, 0.477), La at (0.359, 0.693, 0.454), La at (0.381, 0.033, 0.271), Cd at (0.141, 0.106, 0.781) and Pd at (0.000, 0.000, 0.000).

Its magnetization is 0.00 μB per cell. The calculated volume is 32.0 Å³/atom.

---

--- two ---
Material: La6Cd2Pd
Method: DFT, PBE-GGA
State: optimized geometry

The structure belongs to space group P-62m (No. 189); the cell edges are 9.1964, 9.1964 and 3.8478 Å and the angles 90.00°, 90.00° and 120.00°. The inequivalent atoms are La at (0.0000, 0.4010, 0.0000), La at (0.0000, 0.7505, 0.5000), Cd at (0.3333, 0.6667, 0.5000) and Pd at (0.0000, 0.0000, 0.0000).

Its magnetization is 0.00 μB per cell. The calculated volume is 31.3 Å³/atom.

---

Least stable of them? one.

---

--- one ---
Material: LaPm4Cd
Method: DFT, PBE-GGA
State: optimized geometry

The structure belongs to space group Cmc2_1 (No. 36); the cell edges are 4.984, 15.236 and 10.163 Å and the angles 90.00°, 90.00° and 90.00°. The inequivalent atoms are La at (0.000, 0.171, 0.000), Pm at (0.000, 0.004, 0.749), Pm at (0.000, 0.168, 0.494), Pm at (0.000, 0.330, 0.747), Pm at (0.000, 0.497, 0.999) and Cd at (0.000, 0.335, 0.247).

Its magnetization is 0.00 μB per cell. The calculated volume is 32.2 Å³/atom.

---

--- two ---
Material: LaPm4Cd
Method: DFT, PBE-GGA
State: optimized geometry

The structure belongs to space group P4/mmm (No. 123); the cell edges are 3.695, 3.695 and 14.428 Å and the angles 90.00°, 90.00° and 90.00°. The inequivalent atoms are La at (0.000, 0.000, 0.000), Pm at (0.000, 0.000, 0.357), Pm at (0.500, 0.500, 0.182) and Cd at (0.500, 0.500, 0.500).

Its magnetization is 0.00 μB per cell. The calculated volume is 32.8 Å³/atom.

---

Least stable of them? one.

---

--- one ---
Material: La8PmCd2
Method: DFT, PBE-GGA
State: optimized geometry

The structure belongs to space group C2/m (No. 12); the cell edges are 17.439, 5.488 and 8.620 Å and the angles 90.00°, 113.63° and 90.00°. The inequivalent atoms are La at (0.050, 0.000, 0.240), La at (0.102, 0.500, 0.967), La at (0.149, 0.000, 0.703), La at (0.189, 0.500, 0.456), Pm at (0.000, 0.500, 0.500) and Cd at (0.220, 0.000, 0.131).

Its magnetization is 0.00 μB per cell. The calculated volume is 34.4 Å³/atom.

---

--- two ---
Material: La8PmCd2
Method: DFT, PBE-GGA
State: optimized geometry

The structure belongs to space group C2/m (No. 12); the cell edges are 9.085, 15.423 and 5.995 Å and the angles 90.00°, 112.47° and 90.00°. The inequivalent atoms are La at (0.000, 0.224, 0.000), La at (0.101, 0.500, 0.805), La at (0.198, 0.109, 0.601), Pm at (0.000, 0.000, 0.000) and Cd at (0.000, 0.306, 0.500).

Its magnetization is 0.00 μB per cell. The calculated volume is 35.3 Å³/atom.

---

Least stable of them? two.

---

--- one ---
Material: La2Pm8Cd
Method: DFT, PBE-GGA
State: optimized geometry

The structure belongs to space group C2/m (No. 12); the cell edges are 18.443, 5.141 and 8.070 Å and the angles 90.00°, 105.32° and 90.00°. The inequivalent atoms are La at (0.224, 0.000, 0.135), Pm at (0.044, 0.000, 0.225), Pm at (0.088, 0.500, 0.942), Pm at (0.135, 0.000, 0.675), Pm at (0.178, 0.500, 0.408) and Cd at (0.000, 0.500, 0.500).

Its magnetization is 0.00 μB per cell. The calculated volume is 33.5 Å³/atom.

---

--- two ---
Material: La2Pm8Cd
Method: DFT, PBE-GGA
State: optimized geometry

The structure belongs to space group C2/m (No. 12); the cell edges are 18.134, 6.746 and 6.336 Å and the angles 90.00°, 105.54° and 90.00°. The inequivalent atoms are La at (0.232, 0.000, 0.391), Pm at (0.083, 0.263, 0.433), Pm at (0.088, 0.000, 0.918), Pm at (0.188, 0.500, 0.043) and Cd at (0.000, 0.500, 0.000).

Its magnetization is 0.00 μB per cell. The calculated volume is 33.9 Å³/atom.

---

Least stable of them? two.

---

--- one ---
Material: LaPm6Cd
Method: DFT, PBE-GGA
State: optimized geometry

The structure belongs to space group C2/m (No. 12); the cell edges are 7.025, 12.606 and 6.921 Å and the angles 90.00°, 118.19° and 90.00°. The inequivalent atoms are La at (0.000, 0.000, 0.000), Pm at (0.017, 0.500, 0.258), Pm at (0.019, 0.224, 0.748) and Cd at (0.000, 0.000, 0.500).

Its magnetization is 2.31 μB per cell. The calculated volume is 33.8 Å³/atom.

---

--- two ---
Material: LaPm6Cd
Method: DFT, PBE-GGA
State: optimized geometry

The structure belongs to space group I4/mmm (No. 139); the cell edges are 5.018, 5.018 and 20.882 Å and the angles 90.00°, 90.00° and 90.00°. The inequivalent atoms are La at (0.000, 0.000, 0.000), Pm at (0.000, 0.000, 0.247), Pm at (0.000, 0.500, 0.124) and Cd at (0.000, 0.000, 0.500).

Its magnetization is 0.00 μB per cell. The calculated volume is 32.9 Å³/atom.

---

Least stable of them? one.